Arrangement one

Na2GeBr4: optimized geometry, GGA-PBE.

a = 8.625 Å, b = 8.625 Å, c = 12.213 Å
α = 90.00°, β = 90.00°, γ = 90.00°
Positions (direct):
Na (0.000, 0.257, 0.000)
Na (0.000, 0.743, 0.500)
Na (0.249, 0.249, 0.375)
Na (0.249, 0.751, 0.125)
Na (0.257, 0.000, 0.750)
Na (0.743, 0.000, 0.250)
Na (0.751, 0.249, 0.625)
Na (0.751, 0.751, 0.875)
Ge (0.245, 0.500, 0.750)
Ge (0.500, 0.245, 0.000)
Ge (0.500, 0.755, 0.500)
Ge (0.755, 0.500, 0.250)
Br (0.030, 0.265, 0.753)
Br (0.030, 0.735, 0.747)
Br (0.256, 0.489, 0.983)
Br (0.256, 0.511, 0.517)
Br (0.265, 0.030, 0.997)
Br (0.265, 0.970, 0.503)
Br (0.489, 0.256, 0.767)
Br (0.489, 0.744, 0.733)
Br (0.511, 0.256, 0.233)
Br (0.511, 0.744, 0.267)
Br (0.735, 0.030, 0.003)
Br (0.735, 0.970, 0.497)
Br (0.744, 0.489, 0.017)
Br (0.744, 0.511, 0.483)
Br (0.970, 0.265, 0.247)
Br (0.970, 0.735, 0.253)

The calculation puts the density at 3.2 g cm⁻³. Its total magnetization is 0.00 μB per formula unit.

Arrangement two

Na2GeBr4: optimized geometry, GGA-PBE.

a = 8.559 Å, b = 8.559 Å, c = 8.559 Å
α = 142.51°, β = 142.51°, γ = 54.06°
Positions (direct):
Na (0.135, 0.135, 0.000)
Na (0.865, 0.865, 0.000)
Ge (0.500, 0.500, 0.000)
Br (0.000, 0.500, 0.500)
Br (0.319, 0.319, 0.000)
Br (0.500, 0.000, 0.500)
Br (0.681, 0.681, 0.000)

The calculation puts the density at 3.2 g cm⁻³. Its total magnetization is 0.00 μB per formula unit.

Arrangement three

Na2GeBr4: optimized geometry, GGA-PBE.

a = 7.565 Å, b = 7.565 Å, c = 7.565 Å
α = 124.66°, β = 124.66°, γ = 82.10°
Positions (direct):
Na (0.250, 0.750, 0.500)
Na (0.750, 0.250, 0.500)
Ge (0.000, 0.000, 0.000)
Br (0.111, 0.645, 0.000)
Br (0.355, 0.355, 0.467)
Br (0.645, 0.111, 0.000)
Br (0.889, 0.889, 0.533)

The calculation puts the density at 2.6 g cm⁻³. Its total magnetization is 0.00 μB per formula unit.

What should be chosen as the least stable of them? Choose arrangement two.

Arrangement one

NbGeBr3: optimized geometry, GGA-PBE.

a = 5.386 Å, b = 5.386 Å, c = 5.386 Å
α = 90.00°, β = 90.00°, γ = 90.00°
Positions (direct):
Nb (0.000, 0.000, 0.000)
Ge (0.500, 0.500, 0.500)
Br (0.000, 0.500, 0.500)
Br (0.500, 0.000, 0.500)
Br (0.500, 0.500, 0.000)

The calculation puts the density at 4.3 g cm⁻³. Its total magnetization is 4.00 μB per formula unit.

Arrangement two

NbGeBr3: optimized geometry, GGA-PBE.

a = 5.324 Å, b = 5.324 Å, c = 5.324 Å
α = 90.00°, β = 90.00°, γ = 90.00°
Positions (direct):
Nb (0.000, 0.000, 0.000)
Ge (0.500, 0.500, 0.500)
Br (0.000, 0.000, 0.500)
Br (0.000, 0.500, 0.000)
Br (0.500, 0.000, 0.000)

The calculation puts the density at 4.5 g cm⁻³. Its total magnetization is 4.00 μB per formula unit.

What should be chosen as the least stable of them? Choose arrangement one.

Arrangement one

NbGe2Br: optimized geometry, GGA-PBE.

a = 7.680 Å, b = 7.680 Å, c = 7.680 Å
α = 132.20°, β = 132.20°, γ = 69.92°
Positions (direct):
Nb (0.000, 0.000, 0.000)
Nb (0.750, 0.250, 0.500)
Ge (0.071, 0.625, 0.946)
Ge (0.375, 0.321, 0.446)
Ge (0.679, 0.125, 0.054)
Ge (0.875, 0.929, 0.554)
Br (0.250, 0.750, 0.500)
Br (0.500, 0.500, 0.000)

The calculation puts the density at 4.3 g cm⁻³. Its total magnetization is 0.00 μB per formula unit.

Arrangement two

NbGe2Br: optimized geometry, GGA-PBE.

a = 4.810 Å, b = 4.810 Å, c = 4.810 Å
α = 60.00°, β = 60.00°, γ = 60.00°
Positions (direct):
Nb (0.000, 0.000, 0.000)
Ge (0.250, 0.250, 0.250)
Ge (0.750, 0.750, 0.750)
Br (0.500, 0.500, 0.500)

The calculation puts the density at 6.7 g cm⁻³. Its total magnetization is 0.00 μB per formula unit.

What should be chosen as the least stable of them? Choose arrangement two.

Arrangement one

NbGeSe2Br: optimized geometry, GGA-PBE.

a = 5.032 Å, b = 5.032 Å, c = 5.006 Å
α = 90.00°, β = 90.00°, γ = 90.00°
Positions (direct):
Nb (0.000, 0.000, 0.000)
Ge (0.500, 0.500, 0.500)
Se (0.000, 0.500, 0.500)
Se (0.500, 0.000, 0.500)
Br (0.500, 0.500, 0.000)

The calculation puts the density at 5.3 g cm⁻³. Its total magnetization is 2.71 μB per formula unit.

Arrangement two

NbGeSe2Br: optimized geometry, GGA-PBE.

a = 5.080 Å, b = 5.080 Å, c = 5.143 Å
α = 90.00°, β = 90.00°, γ = 90.00°
Positions (direct):
Nb (0.000, 0.000, 0.000)
Ge (0.500, 0.500, 0.500)
Se (0.000, 0.500, 0.000)
Se (0.500, 0.000, 0.000)
Br (0.000, 0.000, 0.500)

The calculation puts the density at 5.0 g cm⁻³. Its total magnetization is 0.99 μB per formula unit.

What should be chosen as the least stable of them? Choose arrangement one.

Arrangement one

NiGeBr2: optimized geometry, GGA-PBE.

a = 6.838 Å, b = 6.838 Å, c = 6.838 Å
α = 124.35°, β = 124.35°, γ = 82.62°
Positions (direct):
Ni (0.000, 0.000, 0.000)
Ni (0.750, 0.250, 0.500)
Ge (0.250, 0.750, 0.500)
Ge (0.500, 0.500, 0.000)
Br (0.065, 0.625, 0.940)
Br (0.375, 0.315, 0.440)
Br (0.685, 0.125, 0.060)
Br (0.875, 0.935, 0.560)

The calculation puts the density at 4.6 g cm⁻³. Its total magnetization is 0.00 μB per formula unit.

Arrangement two

NiGeBr2: optimized geometry, GGA-PBE.

a = 4.853 Å, b = 4.853 Å, c = 4.853 Å
α = 60.00°, β = 60.00°, γ = 60.00°
Positions (direct):
Ni (0.000, 0.000, 0.000)
Ge (0.500, 0.500, 0.500)
Br (0.250, 0.250, 0.250)
Br (0.750, 0.750, 0.750)

The calculation puts the density at 6.0 g cm⁻³. Its total magnetization is 0.00 μB per formula unit.

What should be chosen as the least stable of them? Choose arrangement two.

Arrangement one

Sr2NiGeBr: optimized geometry, GGA-PBE.

a = 5.819 Å, b = 5.819 Å, c = 5.120 Å
α = 90.00°, β = 90.00°, γ = 90.00°
Positions (direct):
Sr (0.000, 0.500, 0.000)
Sr (0.500, 0.000, 0.000)
Ni (0.000, 0.000, 0.500)
Ge (0.500, 0.500, 0.500)
Br (0.500, 0.500, 0.000)

The calculation puts the density at 3.7 g cm⁻³. Its total magnetization is 0.63 μB per formula unit.

Arrangement two

Sr2NiGeBr: optimized geometry, GGA-PBE.

a = 5.855 Å, b = 5.855 Å, c = 4.378 Å
α = 90.00°, β = 90.00°, γ = 90.00°
Positions (direct):
Sr (0.000, 0.500, 0.000)
Sr (0.500, 0.000, 0.000)
Ni (0.000, 0.000, 0.000)
Ge (0.000, 0.000, 0.500)
Br (0.500, 0.500, 0.500)

The calculation puts the density at 4.3 g cm⁻³. Its total magnetization is 0.00 μB per formula unit.

What should be chosen as the least stable of them? Choose arrangement one.